(1)
This record from the Alexandria database describes a geometry-optimized SrZnF4 structure. The functional is PBE-GGA.

The structure in extended XYZ format:
```
12
Lattice="5.468 0.000 0.000 0.000 5.678 0.000 -0.500 0.000 5.572" Properties=species:S:1:pos:R:3 pbc="T T T"
Sr 0.000 0.000 0.000
Sr -0.250 2.839 2.786
Zn 2.484 0.000 2.786
Zn 2.734 2.839 0.000
F 0.834 0.822 2.157
F 0.584 2.017 4.943
F 1.719 3.975 1.503
F 1.469 4.542 4.289
F 3.499 1.136 1.283
F 3.249 1.703 4.070
F 4.384 3.661 0.629
F 4.134 4.856 3.415
```

Values from the calculation:
- Crystal system: monoclinic
- Formation energy (no corrections): -18.5 eV per formula unit
- SG: No. 14
- Magnetic moment: 0.0 μB/cell
- Volume: 14.4 A^3/atom


(2)
This record from the Alexandria database describes a geometry-optimized Na7Tl12Pb structure. The functional is PBE-GGA.

The structure in extended XYZ format:
```
20
Lattice="6.184 3.570 4.697 -6.184 3.570 4.697 0.000 -7.141 4.697" Properties=species:S:1:pos:R:3 pbc="T T T"
Na 0.000 0.000 0.000
Na -2.096 -0.397 4.308
Na 1.392 -1.616 4.308
Na 0.704 2.014 4.308
Na -0.704 -2.014 9.783
Na -1.392 1.616 9.783
Na 2.096 0.397 9.783
Tl -5.402 0.719 5.852
Tl -3.323 -4.319 8.239
Tl -3.211 -0.937 7.545
Tl -0.794 -3.249 6.546
Tl 2.078 -5.037 5.852
Tl -2.417 2.312 6.546
Tl 2.417 -2.312 7.545
Tl -2.078 5.037 8.239
Tl 0.794 3.249 7.545
Tl 3.211 0.937 6.546
Tl 3.323 4.319 5.852
Tl 5.402 -0.719 8.239
Pb 0.000 0.000 7.046
```

Values from the calculation:
- Energy relative to the lowest polymorph listed for this composition: 0.368 eV per formula unit
- Crystal system: trigonal
- SG: No. 148
- Magnetic moment: 0.0 μB/cell
- Volume: 31.1 A^3/atom


What DFT total energy values result from the calculations? In sequence: -4.830 -2.120 eV/atom.